Li2Mg5Ag4: relaxed, PBE-GGA.

For the mass density, the calculation gives 4392 kg/m³. The total moment comes out at 0.000 μB per atom. Its formation energy is -1.2 eV/f.u. The calculation puts the uncorrected energy at -2.218 eV/atom.

The structure belongs to space group C2/m (No. 12); the cell edges are 20.1597, 3.0530 and 6.9923 Å and the angles 90.00°, 95.03° and 90.00°. The distinct sites, in fractional coordinates, are Li at (0.0755, 0.0000, 0.1657), Mg at (0.0000, 0.0000, 0.5000), Mg at (0.1377, 0.5000, 0.5380), Mg at (0.1814, 0.5000, 0.9821), Ag at (0.0442, 0.5000, 0.8357) and Ag at (0.2243, 0.0000, 0.3179).